Version w
! Pt2OF2 PBE-GGA optimized geometry; values from VASP
&SYSTEM
  ibrav = 0, nat = 10, ntyp = 3
/
ATOMIC_SPECIES
F 19.00 F.upf
O 16.00 O.upf
Pt 195.08 Pt.upf
CELL_PARAMETERS angstrom
-1.1041 1.0553 -4.0994
-1.6789 4.2264 2.9554
4.6391 2.6767 0.8548
ATOMIC_POSITIONS angstrom
F -1.1634 3.5582 -1.3491
F 0.3071 5.0655 1.9618
F 1.5489 2.8929 -2.2509
F 3.0194 4.4002 1.0600
O 0.7973 2.7731 0.3522
O 1.0587 5.1853 -0.6414
Pt -0.6293 1.8797 -3.2795
Pt -0.5629 4.3449 0.3511
Pt 2.4190 3.6135 -0.6403
Pt 2.4853 6.0787 2.9904
! - space-group type = C2/m
! - total magnetization (μB per formula unit) = 0.0
! - theoretical density (g/cm³) = 12.34

---

Version x
! Pt2OF2 PBE-GGA optimized geometry; values from VASP
&SYSTEM
  ibrav = 0, nat = 10, ntyp = 3
/
ATOMIC_SPECIES
F 19.00 F.upf
O 16.00 O.upf
Pt 195.08 Pt.upf
CELL_PARAMETERS angstrom
-0.9335 1.6970 -4.3085
2.4183 -4.4842 -2.2902
-4.7531 -0.7766 3.3135
ATOMIC_POSITIONS angstrom
F 0.1491 -2.3442 -3.5452
F 0.0902 -2.2180 -0.8931
F -3.3585 -1.3458 -2.3920
F -3.4174 -1.2196 0.2601
O -0.2334 0.4243 -1.0771
O -0.7001 1.2728 -3.2314
Pt -1.6328 -0.4420 -2.4099
Pt -1.7168 -0.2694 0.2659
Pt -1.5515 -3.2944 -3.5510
Pt -1.6355 -3.1217 -0.8752
! - space-group type = Ibam
! - total magnetization (μB per formula unit) = 0.0
! - theoretical density (g/cm³) = 12.26

---

Version y
! Pt2OF2 PBE-GGA optimized geometry; values from VASP
&SYSTEM
  ibrav = 0, nat = 10, ntyp = 3
/
ATOMIC_SPECIES
F 19.00 F.upf
O 16.00 O.upf
Pt 195.08 Pt.upf
CELL_PARAMETERS angstrom
-1.9397 -4.0958 4.1782
4.5188 1.7474 3.8108
-4.2705 4.5928 -2.0271
ATOMIC_POSITIONS angstrom
F 1.7481 0.0324 5.3901
F 0.3105 1.3764 1.4934
F -2.0018 0.8680 4.4684
F -3.4394 2.2120 0.5716
O 2.6439 2.1652 3.3499
O -4.3353 0.0792 2.6119
Pt 0.0000 0.0000 0.0000
Pt 2.2594 0.8737 1.9054
Pt -2.1353 2.2964 -1.0136
Pt -3.1051 0.2485 1.0755
! - space-group type = I4_1/amd
! - total magnetization (μB per formula unit) = 0.0
! - theoretical density (g/cm³) = 7.85

---

Stability check: which of them is least stable? version x.